Entry 1:
The following is a DFT calculation (PBE) of crystalline LaZn2Ni2 at its relaxed geometry.

Summary:
E_form in kJ per mole of atoms: -11.7
Total energy in eV/atom: -3.929
Distance to the lowest polymorph of the same formula in kcal/mol of atoms: 5.16
D(E_F) in states/eV per atom: 0.67

a = 7.5373 Å, b = 7.5373 Å, c = 2.8625 Å
α = 90.00°, β = 90.00°, γ = 90.00°
Element x y z (fractional)
La  0.0000  0.0000  0.0000
La  0.5000  0.5000  0.0000
Zn  0.1157  0.3843  0.0000
Zn  0.3843  0.8843  0.0000
Zn  0.6157  0.1157  0.0000
Zn  0.8843  0.6157  0.0000
Ni  0.1790  0.6790  0.5000
Ni  0.3210  0.1790  0.5000
Ni  0.6790  0.8210  0.5000
Ni  0.8210  0.3210  0.5000

---

Entry 2:
The following is a DFT calculation (PBE) of crystalline NiAg2Pt5 at its relaxed geometry.

Summary:
E_form in kJ per mole of atoms: -0.3
Total energy in eV/atom: -5.214
D(E_F) in states/eV per atom: 1.43

a = 8.5872 Å, b = 8.5872 Å, c = 8.5872 Å
α = 153.54°, β = 153.54°, γ = 37.78°
Element x y z (fractional)
Ni  0.0000  0.0000  0.0000
Ag  0.2501  0.2501  0.0000
Ag  0.7499  0.7499  0.0000
Pt  0.1161  0.6161  0.5000
Pt  0.3839  0.8839  0.5000
Pt  0.5000  0.5000  0.0000
Pt  0.6161  0.1161  0.5000
Pt  0.8839  0.3839  0.5000

---

Entry 3:
The following is a DFT calculation (PBE) of crystalline SmHg6Pd6 at its relaxed geometry.

Summary:
E_form in kJ per mole of atoms: -29.9
Total energy in eV/atom: -3.209
D(E_F) in states/eV per atom: 0.32

a = 7.3308 Å, b = 7.3308 Å, c = 7.3308 Å
α = 134.79°, β = 100.83°, γ = 96.17°
Element x y z (fractional)
Sm  0.0000  0.0000  0.0000
Hg  0.1783  0.6783  0.5000
Hg  0.3343  0.0000  0.3343
Hg  0.3411  0.3411  0.0000
Hg  0.6589  0.6589  0.0000
Hg  0.6657  0.0000  0.6657
Hg  0.8217  0.3217  0.5000
Pd  0.0000  0.0000  0.5000
Pd  0.0000  0.5000  0.0000
Pd  0.2378  0.5000  0.7378
Pd  0.5000  0.0000  0.0000
Pd  0.5000  0.5000  0.5000
Pd  0.7622  0.5000  0.2622